No. 1
The following is a DFT calculation (PBE) of Cs2BeInI6 after structural relaxation.

It has space group I4/mmm (No. 139), with a = 8.287 Å, b = 8.287 Å, c = 11.783 Å, α = 90.00°, β = 90.00° and γ = 90.00°. Symmetry generates all atoms from Cs at (0.000, 0.500, 0.250), Be at (0.000, 0.000, 0.000), In at (0.000, 0.000, 0.500), I at (0.000, 0.000, 0.235) and I at (0.234, 0.234, 0.000).

As for the energy: -2.55 eV per atom. As for the raw formation energy: -77.1 kJ per mole of atoms. Its total moment is 0.000 μB per cell. The crystal system is tetragonal.

=====

No. 2
The following is a DFT calculation (PBE) of CsBe2InI6 after structural relaxation.

It has space group C2/c (No. 15), with a = 12.022 Å, b = 16.438 Å, c = 11.224 Å, α = 90.00°, β = 110.90° and γ = 90.00°. Symmetry generates all atoms from Cs at (0.000, 0.178, 0.250), Be at (0.250, 0.105, 0.717), In at (0.000, 0.445, 0.750), I at (0.076, 0.393, 0.104), I at (0.152, 0.224, 0.641) and I at (0.193, 0.017, 0.111).

As for the energy: -2.74 eV per atom. As for the raw formation energy: -68.5 kJ per mole of atoms. Its total moment is 0.000 μB per cell. The crystal system is monoclinic.

=====

No. 3
The following is a DFT calculation (PBE) of CsKBe2I6 after structural relaxation.

It has space group C2/c (No. 15), with a = 12.676 Å, b = 15.332 Å, c = 11.304 Å, α = 90.00°, β = 111.07° and γ = 90.00°. Symmetry generates all atoms from Cs at (0.000, 0.166, 0.250), K at (0.000, 0.414, 0.750), Be at (0.246, 0.104, 0.711), I at (0.088, 0.391, 0.114), I at (0.147, 0.231, 0.634) and I at (0.193, 0.025, 0.102).

As for the energy: -2.79 eV per atom. As for the raw formation energy: -88.8 kJ per mole of atoms. Its total moment is 0.000 μB per cell. The crystal system is monoclinic.

=====

No. 4
The following is a DFT calculation (PBE) of CsLiBe2I6 after structural relaxation.

It has space group C2/c (No. 15), with a = 11.663 Å, b = 19.647 Å, c = 8.885 Å, α = 90.00°, β = 114.99° and γ = 90.00°. Symmetry generates all atoms from Cs at (0.000, 0.156, 0.250), Li at (0.000, 0.500, 0.250), Be at (0.203, 0.387, 0.221), I at (0.004, 0.394, 0.001), I at (0.197, 0.216, 0.715) and I at (0.215, 0.016, 0.622).

As for the energy: -2.81 eV per atom. As for the raw formation energy: -82.4 kJ per mole of atoms. Its total moment is 0.000 μB per cell. The crystal system is monoclinic.

=====

No. 5
The following is a DFT calculation (PBE) of CsLiBeI4 after structural relaxation.

It has space group P2_1/m (No. 11), with a = 6.775 Å, b = 8.786 Å, c = 10.490 Å, α = 90.00°, β = 107.08° and γ = 90.00°. Symmetry generates all atoms from Cs at (0.221, 0.250, 0.391), Li at (0.182, 0.250, 0.824), Be at (0.338, 0.750, 0.207), I at (0.054, 0.750, 0.005), I at (0.185, 0.750, 0.395) and I at (0.442, 0.027, 0.772).

As for the energy: -2.85 eV per atom. As for the raw formation energy: -99.6 kJ per mole of atoms. Its total moment is 0.000 μB per cell. The crystal system is monoclinic.

=====

No. 6
The following is a DFT calculation (PBE) of Cs2LiBeI6 after structural relaxation.

It has space group I4/mmm (No. 139), with a = 8.151 Å, b = 8.151 Å, c = 11.540 Å, α = 90.00°, β = 90.00° and γ = 90.00°. Symmetry generates all atoms from Cs at (0.000, 0.500, 0.250), Li at (0.000, 0.000, 0.000), Be at (0.000, 0.000, 0.500), I at (0.000, 0.000, 0.268) and I at (0.238, 0.238, 0.500).

As for the energy: -2.53 eV per atom. As for the raw formation energy: -83.1 kJ per mole of atoms. Its total moment is 0.000 μB per cell. The crystal system is tetragonal.

=====

No. 7
The following is a DFT calculation (PBE) of Cs2MgBeI after structural relaxation.

It has space group P4/mmm (No. 123), with a = 7.247 Å, b = 7.247 Å, c = 4.927 Å, α = 90.00°, β = 90.00° and γ = 90.00°. Symmetry generates all atoms from Cs at (0.000, 0.500, 0.000), Mg at (0.000, 0.000, 0.000), Be at (0.000, 0.000, 0.500) and I at (0.500, 0.500, 0.500).

As for the energy: -1.67 eV per atom. As for the raw formation energy: 4.9 kJ per mole of atoms. Its total moment is 0.000 μB per cell. The crystal system is tetragonal.

=====

No. 8
The following is a DFT calculation (PBE) of CsMgBe2I8 after structural relaxation.

It has space group R-3 (No. 148, hexagonal axes), with a = 7.1973 Å, b = 7.1973 Å, c = 30.9685 Å, α = 90.00°, β = 90.00° and γ = 120.00°. Symmetry generates all atoms from Cs at (0.0000, 0.0000, 0.0000), Mg at (0.0000, 0.0000, 0.5000), Be at (0.0000, 0.0000, 0.2445), I at (0.0000, 0.0000, 0.3223) and I at (0.0038, 0.3249, 0.2216).

As for the energy: -2.58 eV per atom. As for the raw formation energy: -69.4 kJ per mole of atoms. Its total moment is 0.002 μB per cell. The crystal system is trigonal.

=====

No. 9
The following is a DFT calculation (PBE) of Cs2BeMoI6 after structural relaxation.

It has space group I4/mmm (No. 139), with a = 8.906 Å, b = 8.906 Å, c = 11.331 Å, α = 90.00°, β = 90.00° and γ = 90.00°. Symmetry generates all atoms from Cs at (0.000, 0.500, 0.250), Be at (0.000, 0.000, 0.000), Mo at (0.000, 0.000, 0.500), I at (0.000, 0.000, 0.197) and I at (0.223, 0.223, 0.500).

As for the energy: -3.16 eV per atom. As for the raw formation energy: -58.6 kJ per mole of atoms. Its total moment is 8.000 μB per cell. The crystal system is tetragonal.

=====

No. 10
The following is a DFT calculation (PBE) of CsBeIN2 after structural relaxation.

It has space group P4/mmm (No. 123), with a = 4.463 Å, b = 4.463 Å, c = 7.809 Å, α = 90.00°, β = 90.00° and γ = 90.00°. Symmetry generates all atoms from Cs at (0.000, 0.000, 0.000), Be at (0.500, 0.500, 0.500), I at (0.000, 0.000, 0.500) and N at (0.000, 0.500, 0.000).

As for the energy: -2.15 eV per atom. As for the raw formation energy: 232.3 kJ per mole of atoms. Its total moment is 2.060 μB per cell. The crystal system is tetragonal.

=====

No. 11
The following is a DFT calculation (PBE) of CsBeI2N after structural relaxation.

It has space group P4/mmm (No. 123), with a = 7.102 Å, b = 7.102 Å, c = 3.198 Å, α = 90.00°, β = 90.00° and γ = 90.00°. Symmetry generates all atoms from Cs at (0.000, 0.000, 0.000), Be at (0.500, 0.500, 0.500), I at (0.000, 0.500, 0.500) and N at (0.500, 0.500, 0.000).

As for the energy: -3.34 eV per atom. As for the raw formation energy: -13.3 kJ per mole of atoms. Its total moment is 1.022 μB per cell. The crystal system is tetragonal.

=====

No. 12
The following is a DFT calculation (PBE) of CsBeI2N after structural relaxation.

It has space group P4/mmm (No. 123), with a = 7.036 Å, b = 7.036 Å, c = 4.562 Å, α = 90.00°, β = 90.00° and γ = 90.00°. Symmetry generates all atoms from Cs at (0.000, 0.000, 0.000), Be at (0.500, 0.500, 0.500), I at (0.000, 0.500, 0.000) and N at (0.000, 0.000, 0.500).

As for the energy: -1.62 eV per atom. As for the raw formation energy: 152.3 kJ per mole of atoms. Its total moment is 2.763 μB per cell. The crystal system is tetragonal.

=====

No. 13
The following is a DFT calculation (PBE) of Cs2BeIN after structural relaxation.

It has space group P4/mmm (No. 123), with a = 7.250 Å, b = 7.250 Å, c = 5.211 Å, α = 90.00°, β = 90.00° and γ = 90.00°. Symmetry generates all atoms from Cs at (0.000, 0.500, 0.000), Be at (0.000, 0.000, 0.500), I at (0.000, 0.000, 0.000) and N at (0.500, 0.500, 0.500).

As for the energy: -2.08 eV per atom. As for the raw formation energy: 94.6 kJ per mole of atoms. Its total moment is 1.423 μB per cell. The crystal system is tetragonal.

=====

No. 14
The following is a DFT calculation (PBE) of Cs2BeIN after structural relaxation.

It has space group P4/mmm (No. 123), with a = 6.360 Å, b = 6.360 Å, c = 4.409 Å, α = 90.00°, β = 90.00° and γ = 90.00°. Symmetry generates all atoms from Cs at (0.000, 0.500, 0.000), Be at (0.000, 0.000, 0.500), I at (0.500, 0.500, 0.500) and N at (0.500, 0.500, 0.000).

As for the energy: -2.30 eV per atom. As for the raw formation energy: 73.7 kJ per mole of atoms. Its total moment is 0.000 μB per cell. The crystal system is tetragonal.

=====

No. 15
The following is a DFT calculation (PBE) of CsNaBeI2 after structural relaxation.

It has space group P4/mmm (No. 123), with a = 7.214 Å, b = 7.214 Å, c = 6.411 Å, α = 90.00°, β = 90.00° and γ = 90.00°. Symmetry generates all atoms from Cs at (0.000, 0.000, 0.000), Na at (0.500, 0.500, 0.500), Be at (0.000, 0.000, 0.500) and I at (0.000, 0.500, 0.000).

As for the energy: -1.74 eV per atom. As for the raw formation energy: 5.4 kJ per mole of atoms. Its total moment is 0.000 μB per cell. The crystal system is tetragonal.

=====

No. 16
The following is a DFT calculation (PBE) of Cs2BeNbI6 after structural relaxation.

It has space group I4/mmm (No. 139), with a = 8.914 Å, b = 8.914 Å, c = 10.709 Å, α = 90.00°, β = 90.00° and γ = 90.00°. Symmetry generates all atoms from Cs at (0.000, 0.500, 0.250), Be at (0.000, 0.000, 0.000), Nb at (0.000, 0.000, 0.500), I at (0.000, 0.000, 0.213) and I at (0.229, 0.229, 0.500).

As for the energy: -3.13 eV per atom. As for the raw formation energy: -62.3 kJ per mole of atoms. Its total moment is 6.000 μB per cell. The crystal system is tetragonal.

=====

No. 17
The following is a DFT calculation (PBE) of Cs2BeNiI6 after structural relaxation.

It has space group I4/mmm (No. 139), with a = 7.891 Å, b = 7.891 Å, c = 12.366 Å, α = 90.00°, β = 90.00° and γ = 90.00°. Symmetry generates all atoms from Cs at (0.000, 0.500, 0.250), Be at (0.000, 0.000, 0.000), Ni at (0.000, 0.000, 0.500), I at (0.000, 0.000, 0.292) and I at (0.231, 0.231, 0.000).

As for the energy: -2.67 eV per atom. As for the raw formation energy: -60.1 kJ per mole of atoms. Its total moment is 3.085 μB per cell. The crystal system is tetragonal.

=====

No. 18
The following is a DFT calculation (PBE) of CsBeIO2 after structural relaxation.

It has space group P4/mmm (No. 123), with a = 4.274 Å, b = 4.274 Å, c = 7.836 Å, α = 90.00°, β = 90.00° and γ = 90.00°. Symmetry generates all atoms from Cs at (0.000, 0.000, 0.000), Be at (0.500, 0.500, 0.500), I at (0.000, 0.000, 0.500) and O at (0.000, 0.500, 0.000).

As for the energy: -2.47 eV per atom. As for the raw formation energy: 71.6 kJ per mole of atoms. Its total moment is 0.000 μB per cell. The crystal system is tetragonal.

=====

No. 19
The following is a DFT calculation (PBE) of CsBeIO2 after structural relaxation.

It has space group P4/mmm (No. 123), with a = 4.632 Å, b = 4.632 Å, c = 4.884 Å, α = 90.00°, β = 90.00° and γ = 90.00°. Symmetry generates all atoms from Cs at (0.000, 0.000, 0.000), Be at (0.500, 0.500, 0.500), I at (0.500, 0.500, 0.000) and O at (0.000, 0.500, 0.500).

As for the energy: -3.23 eV per atom. As for the raw formation energy: -1.8 kJ per mole of atoms. Its total moment is 0.538 μB per cell. The crystal system is tetragonal.

=====

No. 20
The following is a DFT calculation (PBE) of Cs2BeOsI6 after structural relaxation.

It has space group I4/mmm (No. 139), with a = 8.775 Å, b = 8.775 Å, c = 11.744 Å, α = 90.00°, β = 90.00° and γ = 90.00°. Symmetry generates all atoms from Cs at (0.000, 0.500, 0.250), Be at (0.000, 0.000, 0.000), Os at (0.000, 0.000, 0.500), I at (0.000, 0.000, 0.189) and I at (0.215, 0.215, 0.500).

As for the energy: -3.03 eV per atom. As for the raw formation energy: -42.2 kJ per mole of atoms. Its total moment is 4.000 μB per cell. The crystal system is tetragonal.

=====

No. 21
The following is a DFT calculation (PBE) of Cs2BePI6 after structural relaxation.

It has space group I4/mmm (No. 139), with a = 8.732 Å, b = 8.732 Å, c = 11.597 Å, α = 90.00°, β = 90.00° and γ = 90.00°. Symmetry generates all atoms from Cs at (0.000, 0.500, 0.250), Be at (0.000, 0.000, 0.000), P at (0.000, 0.000, 0.500), I at (0.000, 0.000, 0.193) and I at (0.225, 0.225, 0.500).

As for the energy: -2.63 eV per atom. As for the raw formation energy: -59.7 kJ per mole of atoms. Its total moment is 2.000 μB per cell. The crystal system is tetragonal.

=====

No. 22
The following is a DFT calculation (PBE) of Cs2BePbI6 after structural relaxation.

It has space group I4/mmm (No. 139), with a = 8.429 Å, b = 8.429 Å, c = 11.936 Å, α = 90.00°, β = 90.00° and γ = 90.00°. Symmetry generates all atoms from Cs at (0.000, 0.500, 0.250), Be at (0.000, 0.000, 0.000), Pb at (0.000, 0.000, 0.500), I at (0.000, 0.000, 0.231) and I at (0.230, 0.230, 0.000).

As for the energy: -2.69 eV per atom. As for the raw formation energy: -81.7 kJ per mole of atoms. Its total moment is 0.000 μB per cell. The crystal system is tetragonal.

=====

No. 23
The following is a DFT calculation (PBE) of CsRb2BeI6 after structural relaxation.

It has space group Fm-3m (No. 225), with a = 12.575 Å, b = 12.575 Å, c = 12.575 Å, α = 90.00°, β = 90.00° and γ = 90.00°. Symmetry generates all atoms from Cs at (0.000, 0.000, 0.000), Rb at (0.250, 0.250, 0.250), Be at (0.000, 0.000, 0.500) and I at (0.000, 0.000, 0.287).

As for the energy: -2.41 eV per atom. As for the raw formation energy: -80.0 kJ per mole of atoms. Its total moment is 0.000 μB per cell. The crystal system is cubic.